Entry 1:
Compound: CaPbIBr3
Source: Alexandria via LeMat-Bulk
Functional: PBE-GGA
Structure: relaxed

uncorrected formation energy = -1.340 eV/atom
SG = Cmcm (63)
total moment = 0.00 μB per cell
electronic total energy = -3.386 eV per atom
crystal system = orthorhombic
D(E_F) = 0.0000 states/eV per atom

abc: 9.8301 9.8301 12.2907
angles: 90.00 90.00 153.68
Fractional coordinates of all 12 atoms:
Ca  0.1345  0.8655  0.7500
Ca  0.8655  0.1345  0.2500
Pb  0.5000  0.5000  0.0000
Pb  0.5000  0.5000  0.5000
I  0.2596  0.7404  0.2500
I  0.7404  0.2596  0.7500
Br  0.1080  0.8920  0.5129
Br  0.1080  0.8920  0.9871
Br  0.4789  0.5211  0.2500
Br  0.5211  0.4789  0.7500
Br  0.8920  0.1080  0.0129
Br  0.8920  0.1080  0.4871



Entry 2:
Compound: RbCaI2Br
Source: Alexandria via LeMat-Bulk
Functional: PBE-GGA
Structure: relaxed

uncorrected formation energy = -1.676 eV/atom
SG = P2_1/m (11)
total moment = 0.00 μB per cell
electronic total energy = -3.225 eV per atom
crystal system = monoclinic
D(E_F) = 0.0000 states/eV per atom

abc: 9.5591 4.7418 9.9225
angles: 90.00 99.73 90.00
Fractional coordinates of all 10 atoms:
Rb  0.1911  0.2500  0.3749
Rb  0.8089  0.7500  0.6251
Ca  0.3427  0.2500  0.8339
Ca  0.6573  0.7500  0.1661
I  0.3192  0.7500  0.0493
I  0.4088  0.7500  0.6408
I  0.5912  0.2500  0.3592
I  0.6808  0.2500  0.9507
Br  0.0607  0.2500  0.7034
Br  0.9393  0.7500  0.2966



Entry 3:
Compound: Rb2CaI6Br
Source: Alexandria via LeMat-Bulk
Functional: PBE-GGA
Structure: relaxed

uncorrected formation energy = -0.865 eV/atom
SG = I4/mmm (139)
total moment = 0.00 μB per cell
electronic total energy = -2.356 eV per atom
crystal system = tetragonal
D(E_F) = 0.6516 states/eV per atom

abc: 9.1688 9.1688 9.1688
angles: 124.30 124.30 82.70
Fractional coordinates of all 10 atoms:
Rb  0.2500  0.7500  0.5000
Rb  0.7500  0.2500  0.5000
Ca  0.0000  0.0000  0.0000
I  0.2202  0.2202  0.0000
I  0.2579  0.2579  0.5158
I  0.2579  0.7421  0.0000
I  0.7421  0.2579  0.0000
I  0.7421  0.7421  0.4842
I  0.7798  0.7798  0.0000
Br  0.5000  0.5000  0.0000



Entry 4:
Compound: Rb3Ca2I2Br5
Source: Alexandria via LeMat-Bulk
Functional: PBE-GGA
Structure: relaxed

uncorrected formation energy = -1.810 eV/atom
SG = I4/mmm (139)
total moment = 0.00 μB per cell
electronic total energy = -3.341 eV per atom
crystal system = tetragonal
D(E_F) = 0.0000 states/eV per atom

abc: 15.5726 15.5726 15.5726
angles: 158.83 158.83 30.12
Fractional coordinates of all 12 atoms:
Rb  0.0000  0.0000  0.0000
Rb  0.1776  0.1776  0.0000
Rb  0.8224  0.8224  0.0000
Ca  0.4037  0.4037  0.0000
Ca  0.5963  0.5963  0.0000
I  0.3004  0.3004  0.0000
I  0.6996  0.6996  0.0000
Br  0.0934  0.5934  0.5000
Br  0.4066  0.9066  0.5000
Br  0.5000  0.5000  0.0000
Br  0.5934  0.0934  0.5000
Br  0.9066  0.4066  0.5000



Entry 5:
Compound: RbCaIBr2
Source: Alexandria via LeMat-Bulk
Functional: PBE-GGA
Structure: relaxed

uncorrected formation energy = -1.745 eV/atom
SG = Cmcm (63)
total moment = 0.00 μB per cell
electronic total energy = -3.318 eV per atom
crystal system = orthorhombic
D(E_F) = 0.0000 states/eV per atom

abc: 9.6010 9.6010 9.2479
angles: 90.00 90.00 151.32
Fractional coordinates of all 10 atoms:
Rb  0.2162  0.7838  0.7500
Rb  0.7838  0.2162  0.2500
Ca  0.5000  0.5000  0.0000
Ca  0.5000  0.5000  0.5000
I  0.0056  0.9944  0.2500
I  0.9944  0.0056  0.7500
Br  0.3515  0.6485  0.0110
Br  0.3515  0.6485  0.4890
Br  0.6485  0.3515  0.5110
Br  0.6485  0.3515  0.9890



Entry 6:
Compound: CaSb2IBr
Source: Alexandria via LeMat-Bulk
Functional: PBE-GGA
Structure: relaxed

uncorrected formation energy = 0.199 eV/atom
SG = P4/mmm (123)
total moment = 0.31 μB per cell
electronic total energy = -2.495 eV per atom
crystal system = tetragonal
D(E_F) = 0.9326 states/eV per atom

abc: 5.9770 5.9770 5.7799
angles: 90.00 90.00 90.00
Fractional coordinates of all 5 atoms:
Ca  0.0000  0.0000  0.0000
Sb  0.0000  0.5000  0.0000
Sb  0.5000  0.0000  0.0000
I  0.0000  0.0000  0.5000
Br  0.5000  0.5000  0.5000



Entry 7:
Compound: CaSb2IBr
Source: Alexandria via LeMat-Bulk
Functional: PBE-GGA
Structure: relaxed

uncorrected formation energy = 0.174 eV/atom
SG = P4/mmm (123)
total moment = 0.30 μB per cell
electronic total energy = -2.520 eV per atom
crystal system = tetragonal
D(E_F) = 1.1019 states/eV per atom

abc: 5.3506 5.3506 6.9439
angles: 90.00 90.00 90.00
Fractional coordinates of all 5 atoms:
Ca  0.0000  0.0000  0.0000
Sb  0.0000  0.5000  0.5000
Sb  0.5000  0.0000  0.5000
I  0.5000  0.5000  0.0000
Br  0.5000  0.5000  0.5000



Entry 8:
Compound: CaSbI2Br
Source: Alexandria via LeMat-Bulk
Functional: PBE-GGA
Structure: relaxed

uncorrected formation energy = -0.220 eV/atom
SG = P4/mmm (123)
total moment = 0.48 μB per cell
electronic total energy = -2.399 eV per atom
crystal system = tetragonal
D(E_F) = 0.9467 states/eV per atom

abc: 5.8085 5.8085 6.5400
angles: 90.00 90.00 90.00
Fractional coordinates of all 5 atoms:
Ca  0.0000  0.0000  0.0000
Sb  0.0000  0.0000  0.5000
I  0.0000  0.5000  0.0000
I  0.5000  0.0000  0.0000
Br  0.5000  0.5000  0.5000



Entry 9:
Compound: CaSbI2Br
Source: Alexandria via LeMat-Bulk
Functional: PBE-GGA
Structure: relaxed

uncorrected formation energy = 0.083 eV/atom
SG = P4/mmm (123)
total moment = 0.00 μB per cell
electronic total energy = -2.097 eV per atom
crystal system = tetragonal
D(E_F) = 0.7333 states/eV per atom

abc: 5.6962 5.6962 5.9531
angles: 90.00 90.00 90.00
Fractional coordinates of all 5 atoms:
Ca  0.0000  0.0000  0.0000
Sb  0.5000  0.5000  0.0000
I  0.0000  0.5000  0.5000
I  0.5000  0.0000  0.5000
Br  0.5000  0.5000  0.5000



Entry 10:
Compound: Ca2ScIBr
Source: Alexandria via LeMat-Bulk
Functional: PBE-GGA
Structure: relaxed

uncorrected formation energy = -0.149 eV/atom
SG = P4/mmm (123)
total moment = 1.26 μB per cell
electronic total energy = -2.861 eV per atom
crystal system = tetragonal
D(E_F) = 0.8125 states/eV per atom

abc: 6.3390 6.3390 5.4721
angles: 90.00 90.00 90.00
Fractional coordinates of all 5 atoms:
Ca  0.0000  0.5000  0.0000
Ca  0.5000  0.0000  0.0000
Sc  0.0000  0.0000  0.0000
I  0.0000  0.0000  0.5000
Br  0.5000  0.5000  0.5000



Entry 11:
Compound: Sr3CaI2Br6
Source: Alexandria via LeMat-Bulk
Functional: PBE-GGA
Structure: relaxed

uncorrected formation energy = -1.968 eV/atom
SG = C2/m (12)
total moment = 0.00 μB per cell
electronic total energy = -3.650 eV per atom
crystal system = monoclinic
D(E_F) = 0.0000 states/eV per atom

abc: 9.0122 9.0122 6.9945
angles: 93.75 93.75 59.69
Fractional coordinates of all 12 atoms:
Sr  0.0000  0.0000  0.0000
Sr  0.0000  0.5000  0.5000
Sr  0.5000  0.0000  0.5000
Ca  0.5000  0.5000  0.5000
I  0.1815  0.1815  0.7929
I  0.8185  0.8185  0.2071
Br  0.1838  0.6700  0.7308
Br  0.3300  0.8162  0.2692
Br  0.3339  0.3339  0.2849
Br  0.6661  0.6661  0.7151
Br  0.6700  0.1838  0.7308
Br  0.8162  0.3300  0.2692



Entry 12:
Compound: CaTeI2Br
Source: Alexandria via LeMat-Bulk
Functional: PBE-GGA
Structure: relaxed

uncorrected formation energy = -0.138 eV/atom
SG = P4/mmm (123)
total moment = 0.00 μB per cell
electronic total energy = -2.122 eV per atom
crystal system = tetragonal
D(E_F) = 0.2417 states/eV per atom

abc: 5.6780 5.6780 6.1445
angles: 90.00 90.00 90.00
Fractional coordinates of all 5 atoms:
Ca  0.0000  0.0000  0.0000
Te  0.5000  0.5000  0.0000
I  0.0000  0.5000  0.5000
I  0.5000  0.0000  0.5000
Br  0.5000  0.5000  0.5000